(1)
First-principles (PBE-GGA) data for crystalline Ho5Te4Se at its relaxed geometry, as listed in the Alexandria database.

Calculated values
E = -5.241 eV/atom
raw formation energy = -13.5 eV per formula unit
total magnetic moment = 0.00 μB per atom
crystal system = tetragonal

Unit cell a=4.2059 b=4.2059 c=31.5799 alpha=90.00 beta=90.00 gamma=90.00
Space group I4/mmm (No. 139)
Symmetry-distinct sites (fractional):
Ho: 0.0000 0.0000 0.0000 (multiplicity 2)
Ho: 0.0000 0.0000 0.2132 (multiplicity 4)
Ho: 0.0000 0.0000 0.4138 (multiplicity 4)
Te: 0.0000 0.0000 0.1019 (multiplicity 4)
Te: 0.0000 0.0000 0.3107 (multiplicity 4)
Se: 0.0000 0.0000 0.5000 (multiplicity 2)


(2)
First-principles (PBE-GGA) data for crystalline Tl3SI at its relaxed geometry, as listed in the Alexandria database.

Calculated values
E = -2.796 eV/atom
ΔE to the lowest computed polymorph = 213 meV per atom
raw formation energy = -1.2 eV per formula unit
total magnetic moment = 0.00 μB per atom
crystal system = cubic

Unit cell a=6.0043 b=6.0043 c=6.0043 alpha=90.00 beta=90.00 gamma=90.00
Space group Pm-3m (No. 221)
Symmetry-distinct sites (fractional):
Tl: 0.0000 0.0000 0.5000 (multiplicity 3)
S: 0.0000 0.0000 0.0000 (multiplicity 1)
I: 0.5000 0.5000 0.5000 (multiplicity 1)